{"formula": "PrErTl6", "functional": "PBE", "state": "relaxed", "dos_at_fermi_per_ev_cell": 2.41, "formation_enthalpy_0k_ev_per_fu": -2.11, "lattice_angstrom": [[-1.889, 4.404, 0.378], [-4.278, -1.925, 1.051], [2.226, 0.152, 9.338]], "species": ["Pr", "Tl", "Tl", "Tl", "Tl", "Tl", "Tl", "Er"], "fractional_positions": [[0.000, 0.000, 0.000], [0.000, 0.500, 0.256], [0.500, 0.500, 0.000], [0.500, 0.000, 0.256], [0.000, 0.500, 0.744], [0.500, 0.500, 0.500], [0.500, 0.000, 0.744], [0.000, 0.000, 0.500]]}